Cs2Ho2USe6 | PBE | optimized geometry

Computed properties:
* ΔE_f (raw): -1.5955 eV per atom
* V: 35.449 A^3/atom
* total energy: -5.510 eV/atom
* density of states at the Fermi level: 0.671 states/eV per atom

The structure in CIF format:
```
data_Cs2Ho2USe6
_chemical_formula_sum 'Cs4 Ho4 U2 Se12'
_cell_length_a 7.243
_cell_length_b 12.542
_cell_length_c 8.930
_cell_angle_alpha 90.00
_cell_angle_beta 105.99
_cell_angle_gamma 90.00
_space_group_name_H-M_alt 'C 1 2/m 1'
_space_group_IT_number 12
_space_group_name_Hall '-C 2y'
loop_
_atom_site_label
_atom_site_fract_x
_atom_site_fract_y
_atom_site_fract_z
_atom_site_occupancy
Cs1 0.000 0.168 0.000 1
Ho1 0.000 0.333 0.500 1
U1 0.000 0.000 0.500 1
Se1 0.227 0.165 0.682 1
Se2 0.231 0.500 0.681 1
```


Te2PtF | PBE | optimized geometry

Computed properties:
* excess energy over the best structure of this formula in the dataset: 0.483 eV per atom
* ΔE_f (raw): -0.3911 eV per atom
* V: 26.980 A^3/atom
* total energy: -3.940 eV/atom
* density of states at the Fermi level: 0.731 states/eV per atom

The structure in CIF format:
```
data_Te2PtF
_chemical_formula_sum 'Te8 Pt4 F4'
_cell_length_a 5.936
_cell_length_b 5.936
_cell_length_c 12.250
_cell_angle_alpha 90.00
_cell_angle_beta 90.00
_cell_angle_gamma 90.00
_space_group_name_H-M_alt 'I -4 2 d'
_space_group_IT_number 122
_space_group_name_Hall 'I -4 2bw'
loop_
_atom_site_label
_atom_site_fract_x
_atom_site_fract_y
_atom_site_fract_z
_atom_site_occupancy
Te1 0.237 0.250 0.125 1
Pt1 0.000 0.000 0.000 1
F1 0.000 0.000 0.500 1
```


Copy entry 2 word for word.
Te2PtF | PBE | optimized geometry

Computed properties:
* excess energy over the best structure of this formula in the dataset: 0.483 eV per atom
* ΔE_f (raw): -0.3911 eV per atom
* V: 26.980 A^3/atom
* total energy: -3.940 eV/atom
* density of states at the Fermi level: 0.731 states/eV per atom

The structure in CIF format:
```
data_Te2PtF
_chemical_formula_sum 'Te8 Pt4 F4'
_cell_length_a 5.936
_cell_length_b 5.936
_cell_length_c 12.250
_cell_angle_alpha 90.00
_cell_angle_beta 90.00
_cell_angle_gamma 90.00
_space_group_name_H-M_alt 'I -4 2 d'
_space_group_IT_number 122
_space_group_name_Hall 'I -4 2bw'
loop_
_atom_site_label
_atom_site_fract_x
_atom_site_fract_y
_atom_site_fract_z
_atom_site_occupancy
Te1 0.237 0.250 0.125 1
Pt1 0.000 0.000 0.000 1
F1 0.000 0.000 0.500 1
```


> Look up the density of states at the Fermi level of the first one.

0.671 states/eV per atom